VASP calculation (GGA-PBE) on an optimized crystal structure of Cr5Au.

Calculated values
ΔH_f (0 K)   6.04 kcal/mol of atoms
M_tot   0.00 μB/cell

Cell: 4.761 4.761 4.761 Å, 60.00 60.00 60.00°
Atoms (fractional coordinates):
1 Cr 0.000 0.000 0.000
2 Cr 0.375 0.375 0.375
3 Cr 0.375 0.375 0.876
4 Cr 0.375 0.876 0.375
5 Cr 0.876 0.375 0.375
6 Au 0.750 0.750 0.750